A plane-wave DFT calculation with PBE was carried out for a geometry-optimized BeSI2 structure.

Computed properties:
**Symmetry**: I-42d, No. 122
**ΔE_f (raw)**: 328 meV per atom
**Magnetization**: 0.5000 μB/atom
**ΔE to the lowest computed polymorph**: 0 meV/atom
**Mass density**: 3.86 Mg/m³

Cell lengths 7.061, 7.061, 7.061 Å; angles 118.61, 118.61, 92.42 degrees
Positions (direct):
Be  0.000  0.000  0.000
Be  0.750  0.250  0.500
S  0.250  0.750  0.500
S  0.500  0.500  0.000
I  0.030  0.625  0.905
I  0.375  0.280  0.405
I  0.720  0.125  0.095
I  0.875  0.970  0.595

---

A plane-wave DFT calculation with PBE was carried out for a geometry-optimized CdGa2NiOs structure.

Computed properties:
**Energy relative to the elements**: 0.79 eV per atom
**Symmetry**: P4/mmm, No. 123
**Magnetization**: 0.1130 μB/atom
**Mass density**: 7.16 Mg/m³

Cell lengths 4.724, 4.724, 5.204 Å; angles 90.00, 90.00, 90.00 degrees
Positions (direct):
Cd  0.000  0.000  0.000
Ga  0.000  0.500  0.500
Ga  0.500  0.000  0.500
Ni  0.500  0.500  0.000
Os  0.000  0.000  0.500

---

A plane-wave DFT calculation with PBE was carried out for a geometry-optimized CdWAu structure.

Computed properties:
**Energy relative to the elements**: 0.36 eV per atom
**Symmetry**: Fmm2, No. 42
**Magnetization**: 0.0000 μB/atom
**ΔE to the lowest computed polymorph**: 0 meV/atom
**Mass density**: 15.33 Mg/m³

Cell lengths 6.959, 6.957, 2.832 Å; angles 78.28, 78.23, 23.48 degrees
Positions (direct):
Cd  0.000  0.000  0.000
W  0.670  0.670  0.330
Au  0.325  0.325  0.675

---

A plane-wave DFT calculation with PBE was carried out for a geometry-optimized MoRu3 structure.

Computed properties:
**Energy relative to the elements**: 0.06 eV per atom
**Symmetry**: Cmmm, No. 65
**Magnetization**: 0.0000 μB/atom
**ΔE to the lowest computed polymorph**: 111 meV/atom
**Mass density**: 11.51 Mg/m³

Cell lengths 4.715, 4.715, 2.739 Å; angles 90.00, 90.00, 108.89 degrees
Positions (direct):
Mo  0.000  0.000  0.000
Ru  0.000  0.500  0.500
Ru  0.500  0.000  0.500
Ru  0.500  0.500  0.000

---

A plane-wave DFT calculation with PBE was carried out for a geometry-optimized BaLaMg2Pd structure.

Computed properties:
**Energy relative to the elements**: -0.31 eV per atom
**Symmetry**: P4/mmm, No. 123
**Magnetization**: 0.0000 μB/atom
**Mass density**: 4.47 Mg/m³

Cell lengths 5.427, 5.427, 5.436 Å; angles 90.00, 90.00, 90.00 degrees
Positions (direct):
Ba  0.000  0.000  0.000
La  0.500  0.500  0.000
Mg  0.000  0.500  0.500
Mg  0.500  0.000  0.500
Pd  0.500  0.500  0.500

---

A plane-wave DFT calculation with PBE was carried out for a geometry-optimized KTiAl structure.

Computed properties:
**Energy relative to the elements**: 0.33 eV per atom
**Symmetry**: Pmma, No. 51
**Magnetization**: 0.4786 μB/atom
**ΔE to the lowest computed polymorph**: 263 meV/atom
**Mass density**: 2.46 Mg/m³

Cell lengths 5.956, 2.916, 8.852 Å; angles 90.00, 90.00, 90.00 degrees
Positions (direct):
K  0.250  0.000  0.130
K  0.750  0.000  0.870
Ti  0.000  0.000  0.500
Ti  0.500  0.000  0.500
Al  0.250  0.500  0.713
Al  0.750  0.500  0.287

---

Number 1: Fermi-level density of states 0.00 states/eV per cell. Number 2: Fermi-level density of states 8.25 states/eV per cell. Number 3: Fermi-level density of states 0.81 states/eV per cell. Number 4: Fermi-level density of states 4.36 states/eV per cell. Number 5: Fermi-level density of states 2.60 states/eV per cell. Number 6: Fermi-level density of states 4.38 states/eV per cell.